Record 1
MnOsRu2 | GGA-PBEsol | relaxed

Cell lengths 2.6518, 3.7231, 5.2594 Å; angles 90.00, 90.00, 90.00 degrees
Closest atoms and distances in Å follow each position.
Space group Pmmm (No. 47)
Asymmetric unit:
Mn1 0.0000 0.0000 0.0000 [1 per cell]  8 Ru 2.62, 2 Os 2.63, 2 Mn 2.65
Os1 0.0000 0.0000 0.5000 [1 per cell]  2 Mn 2.63, 2 Os 2.65, 8 Ru 2.65
Ru1 0.5000 0.5000 0.2432 [2 per cell]  4 Ru 2.56-2.70, 4 Mn 2.62, 4 Os 2.65

Excess energy over the best structure of this formula in the dataset ... 0.9 meV per atom
Crystal system ... orthorhombic
E_tot ... -41.844 eV/f.u.
DOS at the Fermi energy ... 4.26 states/eV per cell
Formation energy ... 0.119 eV/atom
Density ... 14.30 g cm⁻³

***

Record 2
Cs2RbNa | GGA-PBEsol | relaxed

Cell lengths 10.7926, 10.7926, 10.7926 Å; angles 90.00, 90.00, 90.00 degrees
Closest atoms and distances in Å follow each position.
Space group Fm-3m (No. 225)
Asymmetric unit:
Cs1 0.2500 0.2500 0.2500 [8 per cell]  4 Na 4.67, 4 Rb 4.67
Rb1 0.0000 0.0000 0.0000 [4 per cell]  8 Cs 4.67
Na1 0.0000 0.0000 0.5000 [4 per cell]  8 Cs 4.67

Excess energy over the best structure of this formula in the dataset ... 0.0 meV per atom
Crystal system ... cubic
E_tot ... -4.229 eV/f.u.
DOS at the Fermi energy ... 12.32 states/eV per cell
Formation energy ... 0.020 eV/atom
Density ... 1.98 g cm⁻³

***

Record 3
InRhBr2 | GGA-PBEsol | relaxed

Cell lengths 3.5337, 6.0597, 8.8041 Å; angles 90.00, 90.00, 90.00 degrees
Closest atoms and distances in Å follow each position.
Space group Cmmm (No. 65)
Asymmetric unit:
In1 0.0000 0.0000 0.0000 [2 per cell]  4 Br 3.22, 6 In 3.51-3.53
Rh1 0.0000 0.0000 0.5000 [2 per cell]  4 Br 2.46
Br1 0.0000 0.5000 0.3064 [4 per cell]  2 Rh 2.46

Formation energy without anion corrections ... 0.046 eV/atom
Excess energy over the best structure of this formula in the dataset ... 268.3 meV per atom
Crystal system ... orthorhombic
E_tot ... -14.677 eV/f.u.
DOS at the Fermi energy ... 5.56 states/eV per cell
Density ... 6.65 g cm⁻³

***

Record 4
YSb2TePd | GGA-PBEsol | relaxed

Cell lengths 5.6382, 5.6382, 5.5865 Å; angles 90.00, 90.00, 90.00 degrees
Closest atoms and distances in Å follow each position.
Space group P4/mmm (No. 123)
Asymmetric unit:
Y1 0.0000 0.0000 0.0000 [1 per cell]  2 Te 2.79, 4 Sb 2.82
Sb1 0.0000 0.5000 0.0000 [2 per cell]  2 Y 2.82
Te1 0.0000 0.0000 0.5000 [1 per cell]  2 Y 2.79
Pd1 0.5000 0.5000 0.5000 [1 per cell]  8 Sb 3.97, 4 Te 3.99

Formation energy without anion corrections ... 0.670 eV/atom
Crystal system ... tetragonal
E_tot ... -22.072 eV/f.u.
DOS at the Fermi energy ... 3.79 states/eV per cell
Density ... 5.30 g cm⁻³

***

Record 5
Cu3SbS3 | GGA-PBEsol | relaxed

Cell lengths 7.5100, 9.9669, 13.3013 Å; angles 90.00, 90.09, 90.00 degrees
Closest atoms and distances in Å follow each position.
Space group P2_1/c (No. 14)
Asymmetric unit:
Cu1 0.0575 0.0455 0.3549 [4 per cell]  3 S 2.22-2.30
Cu2 0.1708 0.6019 0.7019 [4 per cell]  3 S 2.22-2.30
Cu3 0.2564 0.1135 0.9363 [4 per cell]  3 S 2.26-2.32
Cu4 0.2735 0.6223 0.1793 [4 per cell]  3 S 2.23-2.27
Cu5 0.3352 0.1099 0.4522 [4 per cell]  3 S 2.22-2.29
Cu6 0.4282 0.5201 0.5900 [4 per cell]  3 S 2.25-2.27
Sb1 0.1988 0.7503 0.4500 [4 per cell]  3 S 2.48-2.54
Sb2 0.2994 0.2431 0.7033 [4 per cell]  3 S 2.47-2.53
S1 0.0586 0.2332 0.8360 [4 per cell]  3 Cu 2.22-2.32
S2 0.1596 0.0797 0.0953 [4 per cell]  3 Cu 2.25-2.30, 1 Sb 2.51
S3 0.1873 0.0631 0.5923 [4 per cell]  3 Cu 2.22-2.27, 1 Sb 2.47
S4 0.3233 0.5679 0.8435 [4 per cell]  3 Cu 2.23-2.30, 1 Sb 2.48
S5 0.3251 0.5733 0.3405 [4 per cell]  3 Cu 2.23-2.31, 1 Sb 2.48
S6 0.4462 0.7472 0.5802 [4 per cell]  3 Cu 2.22-2.27

Formation energy without anion corrections ... -0.208 eV/atom
Excess energy over the best structure of this formula in the dataset ... 1.9 meV per atom
Crystal system ... monoclinic
E_tot ... -32.168 eV/f.u.
Density ... 5.45 g cm⁻³

***

Record 6
AlMo2As | GGA-PBEsol | relaxed

Cell lengths 3.8385, 3.8385, 8.1741 Å; angles 90.00, 90.00, 90.00 degrees
Closest atoms and distances in Å follow each position.
Space group I4/mmm (No. 139)
Asymmetric unit:
Al1 0.0000 0.0000 0.0000 [2 per cell]  4 As 2.71, 8 Mo 2.80
Mo1 0.0000 0.5000 0.2500 [4 per cell]  4 Mo 2.71, 4 As 2.80, 4 Al 2.80
As1 0.0000 0.0000 0.5000 [2 per cell]  4 Al 2.71, 8 Mo 2.80

Excess energy over the best structure of this formula in the dataset ... 232.1 meV per atom
Crystal system ... tetragonal
E_tot ... -31.833 eV/f.u.
DOS at the Fermi energy ... 7.48 states/eV per cell
Formation energy ... 0.225 eV/atom
Density ... 8.10 g cm⁻³